MnGaNi4 | the Alexandria database | PBE-GGA | optimized geometry; calculated volume = 69.8 Å³ per cell; crystal system = monoclinic; calculated formation energy = -1.13 eV/f.u.
1.0
-2.404 -2.405 0.836
-0.815 -2.869 -3.264
2.108 -3.160 4.304
Ni Mn Ga
4 1 1
Cartesian
-0.464 -2.357 -0.782 Ni
-0.922 -4.718 -1.557 Ni
-0.647 -6.077 2.659 Ni
-0.189 -3.716 3.434 Ni
0.000 0.000 0.000 Mn
-0.556 -4.217 0.938 Ga

***

Mn2Ga5Ni12 | the Alexandria database | PBE-GGA | optimized geometry; calculated volume = 243.4 Å³ per cell; crystal system = monoclinic; calculated formation energy = 0.74 eV/f.u.
1.0
5.120 0.000 0.000
-2.560 6.272 0.502
0.000 -1.659 7.445
Ni Ga Mn
12 5 2
Cartesian
0.000 -0.213 1.562 Ni
0.000 4.709 5.327 Ni
2.560 4.826 6.385 Ni
1.247 1.833 1.743 Ni
-1.313 2.780 6.204 Ni
3.874 1.833 1.743 Ni
1.245 4.071 2.768 Ni
1.313 2.780 6.204 Ni
3.805 0.541 5.179 Ni
-1.245 4.071 2.768 Ni
1.315 0.541 5.179 Ni
2.560 -0.096 2.620 Ni
2.560 2.216 3.835 Ga
0.000 2.397 4.112 Ga
0.000 3.704 0.650 Ga
0.000 -0.830 3.723 Ga
2.560 0.909 7.297 Ga
1.595 0.000 0.000 Mn
3.526 0.000 0.000 Mn

***

Mn3GaNi4 | the Alexandria database | PBE-GGA | optimized geometry; calculated volume = 98.0 Å³ per cell; crystal system = tetragonal; calculated formation energy = -1.24 eV/f.u.
1.0
-2.974 -1.730 1.706
-0.842 -1.796 -3.288
5.853 -3.287 2.547
Ga Mn Ni
1 3 4
Cartesian
-1.487 -0.865 0.853 Ga
-0.421 -0.898 -1.644 Mn
0.475 -3.377 1.727 Mn
1.562 -3.437 -0.761 Mn
1.061 -5.562 0.531 Ni
0.977 -1.251 0.434 Ni
2.969 -3.799 1.323 Ni
-0.931 -3.014 -0.357 Ni

***

MnGaNi3 | the Alexandria database | PBE-GGA | optimized geometry; calculated volume = 299.1 Å³ per cell; crystal system = orthorhombic; calculated formation energy = 0.93 eV/f.u.
1.0
-5.795 0.544 -2.145
0.513 -5.637 2.536
-2.376 3.016 7.183
Ni Mn Ga
12 4 4
Cartesian
-5.009 -2.010 1.496 Ni
-3.104 -1.748 4.325 Ni
-3.473 -3.516 2.636 Ni
-2.648 -0.067 6.079 Ni
-3.374 2.042 7.241 Ni
-4.553 -0.329 3.250 Ni
-4.184 1.439 4.938 Ni
-2.196 0.547 3.682 Ni
-3.365 -1.837 -0.342 Ni
-4.284 -4.119 0.333 Ni
-5.461 -2.624 3.893 Ni
-1.917 -3.256 0.733 Ni
-2.602 -1.183 1.945 Mn
-7.054 -2.822 5.778 Mn
-0.603 0.745 1.796 Mn
-5.055 -0.894 5.630 Mn
-0.931 -1.311 4.860 Ga
-4.085 1.780 2.519 Ga
-2.897 0.272 -1.072 Ga
0.256 -2.819 1.268 Ga

***

MnGaNi4 | the Alexandria database | PBE-GGA | optimized geometry; calculated volume = 139.2 Å³ per cell; crystal system = triclinic; calculated formation energy = -1.12 eV/f.u.
1.0
-0.583 -3.448 2.720
4.325 0.231 0.241
1.298 4.356 6.035
Ni Ga Mn
8 2 2
Cartesian
5.369 3.364 6.450 Ni
2.736 1.296 5.503 Ni
3.245 3.745 5.152 Ni
-0.329 -2.226 2.547 Ni
2.304 -0.158 3.494 Ni
4.428 -0.538 4.792 Ni
1.795 -2.606 3.845 Ni
0.612 1.676 4.205 Ni
2.812 2.293 3.138 Ga
1.871 -1.609 1.481 Ga
0.179 0.227 2.189 Mn
4.861 0.912 6.808 Mn

***

MnGaNi | the Alexandria database | PBE-GGA | optimized geometry; calculated volume = 76.4 Å³ per cell; crystal system = hexagonal; calculated formation energy = -0.77 eV/f.u.
1.0
2.068 -3.581 0.000
2.068 3.581 0.000
0.000 0.000 5.156
Ni Ga Mn
2 2 2
Cartesian
2.068 1.194 3.867 Ni
2.068 -1.194 1.289 Ni
2.068 1.194 1.289 Ga
2.068 -1.194 3.867 Ga
0.000 0.000 0.000 Mn
0.000 0.000 2.578 Mn

***

Mn3Ga2Ni7 | the Alexandria database | PBE-GGA | optimized geometry; calculated volume = 156.0 Å³ per cell; crystal system = orthorhombic; calculated formation energy = -0.54 eV/f.u.
1.0
3.758 0.000 0.000
0.000 3.750 -0.745
0.000 0.239 11.017
Ni Ga Mn
7 2 3
Cartesian
1.879 3.664 8.633 Ni
0.000 2.200 1.264 Ni
0.000 2.816 4.364 Ni
1.879 0.325 1.639 Ni
0.000 0.000 0.000 Ni
0.000 1.173 5.908 Ni
0.000 1.789 9.008 Ni
0.000 3.343 7.015 Ga
0.000 0.647 3.256 Ga
1.879 1.463 7.364 Mn
1.879 1.875 -0.372 Mn
1.879 2.527 2.907 Mn

***

Mn2GaNi5 | the Alexandria database | PBE-GGA | optimized geometry; calculated volume = 95.2 Å³ per cell; crystal system = tetragonal; calculated formation energy = -1.09 eV/f.u.
1.0
3.616 0.000 -0.994
-0.273 3.606 -0.994
0.054 0.058 7.270
Ni Ga Mn
5 1 2
Cartesian
2.236 0.462 1.060 Ni
1.671 1.803 -0.994 Ni
3.105 1.399 4.222 Ni
1.160 3.202 4.222 Ni
0.291 2.265 1.060 Ni
0.000 0.000 0.000 Ga
2.537 2.737 2.156 Mn
0.859 0.927 3.126 Mn

***

NpMnGaNi | the Alexandria database | PBE-GGA | optimized geometry; calculated volume = 62.4 Å³ per cell; crystal system = cubic; calculated formation energy = -0.08 eV/f.u.
1.0
-2.229 -3.848 -0.213
2.218 -3.860 -0.005
-0.173 -2.672 3.557
Mn Ni Ga Np
1 1 1 1
Cartesian
-0.138 -7.785 2.504 Mn
-0.046 -2.595 0.835 Ni
-0.092 -5.190 1.669 Ga
0.000 0.000 0.000 Np

***

no.,calculated total energy (eV per cell)
1,-36.45
2,-102.11
3,-54.90
4,-114.45
5,-72.87
6,-37.50
7,-74.58
8,-51.36
9,-30.99